The following is a PBE calculation of a geometry-optimized Ce4Ho3PuS8 structure, from the Alexandria database.

Values from the calculation:
Calculated total energy, Ry/atom: -0.537
Formation energy without anion corrections, kJ per mole of atoms: -192.8

a b c (Å): 7.944 7.944 7.944
angles (deg): 59.60 59.60 59.60
Fractional coordinates of all 16 atoms:
Ce (0.000, 0.000, 0.000)
Ce (0.000, 0.500, 0.500)
Ce (0.500, 0.000, 0.500)
Ce (0.500, 0.500, 0.000)
Ho (0.000, 0.000, 0.500)
Ho (0.000, 0.500, 0.000)
Ho (0.500, 0.000, 0.000)
Pu (0.500, 0.500, 0.500)
S (0.244, 0.748, 0.748)
S (0.246, 0.246, 0.246)
S (0.252, 0.252, 0.756)
S (0.252, 0.756, 0.252)
S (0.748, 0.244, 0.748)
S (0.748, 0.748, 0.244)
S (0.754, 0.754, 0.754)
S (0.756, 0.252, 0.252)